DFT (PBE-GGA) results for an optimized crystal structure of LaGdOsRh.

a = 4.970 Å, b = 4.970 Å, c = 4.970 Å
α = 60.00°, β = 60.00°, γ = 60.00°
Site moments in Bohr magnetons follow the coordinates.
Positions (direct):
1 Rh 0.000 0.000 0.000  -0.07
2 Gd 0.750 0.750 0.750  7.00
3 Os 0.500 0.500 0.500  -0.12
4 La 0.250 0.250 0.250  0.01

Properties
E_form ... -0.282 eV/atom
N(E_F) ... 3.8 states/eV/f.u.
Raw total energy ... -9.679 eV/atom